Below is SrCa2Ir after structural relaxation, with properties calculated at the PBE-GGA level.

formation energy	-0.1255	eV/atom
calculated volume	129.37	Å³/cell
space-group type	Immm
energy	-3.762	eV per atom
crystal system	orthorhombic
excess energy over the best structure of this formula in the dataset	144.6	meV per atom

Cell: 7.033 7.033 7.033 Å, 149.37 132.69 57.42°
Element x y z (fractional)
Ir (0.250, 0.750, 0.500)
Ca (0.425, 0.425, 0.000)
Ca (0.075, 0.075, 0.000)
Sr (0.750, 0.250, 0.500)